Sr2YP | PBE-GGA | optimized geometry

E_form, eV per atom: -0.55

a = 9.604 Å, b = 9.604 Å, c = 9.604 Å
α = 156.99°, β = 155.06°, γ = 34.19°
Site moments in Bohr magnetons follow the coordinates.
Atoms (fractional coordinates):
P: 0.500 0.000 0.500  -0.01
Sr: 0.662 0.662 0.000  0.03
Sr: 0.338 0.338 0.000  0.03
Y: 0.000 0.500 0.500  0.22

Pa3Si4Pd2 | PBE-GGA | optimized geometry

Distance to the lowest polymorph of the same formula, meV/atom: 0

a = 4.161 Å, b = 5.681 Å, c = 8.148 Å
α = 102.66°, β = 90.00°, γ = 111.48°
Atoms (fractional coordinates):
Pa: 0.663 0.326 0.676
Pa: 0.000 0.000 0.000
Pa: 0.337 0.674 0.324
Si: 0.278 0.555 0.948
Si: 0.722 0.445 0.052
Si: 0.940 0.880 0.604
Si: 0.060 0.120 0.396
Pd: 0.381 0.762 0.714
Pd: 0.619 0.238 0.286

CdSi2PO | PBE-GGA | optimized geometry

a = 5.091 Å, b = 4.852 Å, c = 5.091 Å
α = 90.00°, β = 90.00°, γ = 90.00°
Site moments in Bohr magnetons follow the coordinates.
Atoms (fractional coordinates):
Si: 0.500 0.000 0.000  -0.04
Si: 0.000 0.000 0.500  -0.05
Cd: 0.000 0.000 0.000  0.01
O: 0.500 0.500 0.500  0.97
P: 0.000 0.500 0.000  0.30

AlIn2Si | PBE-GGA | optimized geometry

a = 4.983 Å, b = 4.983 Å, c = 4.983 Å
α = 60.00°, β = 60.00°, γ = 60.00°
Atoms (fractional coordinates):
In: 0.000 0.000 0.000
In: 0.250 0.250 0.250
Al: 0.500 0.500 0.500
Si: 0.750 0.750 0.750

AgWBr2 | PBE-GGA | optimized geometry

Distance to the lowest polymorph of the same formula, meV/atom: 334

a = 8.919 Å, b = 8.919 Å, c = 6.882 Å
α = 49.61°, β = 49.61°, γ = 90.00°
Atoms (fractional coordinates):
Br: 0.875 0.021 0.750
Br: 0.771 0.125 0.250
Br: 0.979 0.625 0.250
Br: 0.375 0.229 0.750
Ag: 0.500 0.500 0.000
Ag: 0.250 0.750 0.500
W: 0.000 0.000 0.000
W: 0.750 0.250 0.500

La2TaBiCl | PBE-GGA | optimized geometry

a = 6.249 Å, b = 5.279 Å, c = 6.249 Å
α = 90.00°, β = 90.00°, γ = 90.00°
Site moments in Bohr magnetons follow the coordinates.
Atoms (fractional coordinates):
La: 0.000 0.000 0.500  0.22
La: 0.500 0.000 0.000  0.20
Ta: 0.500 0.500 0.500  2.14
Cl: 0.000 0.500 0.000  0.03
Bi: 0.000 0.000 0.000  -0.02

YCuSe2 | PBE-GGA | optimized geometry

a = 5.003 Å, b = 5.003 Å, c = 5.003 Å
α = 130.61°, β = 112.81°, γ = 87.79°
Atoms (fractional coordinates):
Cu: 0.250 0.750 0.500
Se: 0.034 0.034 0.000
Se: 0.466 0.466 0.000
Y: 0.750 0.250 0.500

SmInCuPt | PBE-GGA | optimized geometry

E_form, eV per atom: -0.59

a = 4.840 Å, b = 4.840 Å, c = 4.840 Å
α = 60.00°, β = 60.00°, γ = 60.00°
Atoms (fractional coordinates):
In: 0.500 0.500 0.500
Cu: 0.250 0.250 0.250
Pt: 0.750 0.750 0.750
Sm: 0.000 0.000 0.000

BaBe3Rh | PBE-GGA | optimized geometry

E_form, eV per atom: 0.01

a = 4.502 Å, b = 4.502 Å, c = 4.502 Å
α = 90.00°, β = 90.00°, γ = 90.00°
Atoms (fractional coordinates):
Be: 0.000 0.500 0.000
Be: 0.500 0.000 0.000
Be: 0.000 0.000 0.500
Ba: 0.500 0.500 0.500
Rh: 0.000 0.000 0.000

TbPrIn3 | PBE-GGA | optimized geometry

E_form, eV per atom: -0.32

a = 6.174 Å, b = 5.635 Å, c = 8.929 Å
α = 90.00°, β = 110.23°, γ = 90.00°
Atoms (fractional coordinates):
In: 0.131 0.250 0.737
In: 0.869 0.750 0.263
In: 0.000 0.500 0.000
In: 0.000 0.000 0.000
In: 0.606 0.250 0.737
In: 0.394 0.750 0.263
Tb: 0.433 0.750 0.865
Tb: 0.567 0.250 0.135
Pr: 0.803 0.750 0.607
Pr: 0.197 0.250 0.393

AcTb2PmY | PBE-GGA | optimized geometry

E_form, eV per atom: 0.35

a = 7.357 Å, b = 8.509 Å, c = 7.338 Å
α = 125.43°, β = 90.00°, γ = 90.00°
Atoms (fractional coordinates):
Y: 0.750 0.713 0.426
Y: 0.250 0.287 0.574
Tb: 0.000 0.688 0.000
Tb: 0.000 0.312 0.000
Tb: 0.500 0.312 0.000
Tb: 0.500 0.688 0.000
Pm: 0.750 0.989 0.978
Pm: 0.250 0.011 0.022
Ac: 0.250 0.737 0.473
Ac: 0.750 0.263 0.527

MgPa2Pt4 | PBE-GGA | optimized geometry

E_form, eV per atom: -0.78

a = 4.767 Å, b = 4.767 Å, c = 6.631 Å
α = 90.00°, β = 90.00°, γ = 90.00°
Atoms (fractional coordinates):
Pa: 0.500 0.500 0.500
Pa: 0.000 0.000 0.000
Mg: 0.500 0.500 0.000
Pt: 0.000 0.500 0.751
Pt: 0.000 0.500 0.249
Pt: 0.500 0.000 0.249
Pt: 0.500 0.000 0.751

Y4CoBi | PBE-GGA | optimized geometry

E_form, eV per atom: -0.38
Distance to the lowest polymorph of the same formula, meV/atom: 0

a = 3.914 Å, b = 8.389 Å, c = 19.706 Å
α = 90.00°, β = 90.00°, γ = 90.00°
Atoms (fractional coordinates):
Y: 0.250 0.630 0.144
Y: 0.250 0.130 0.356
Y: 0.250 0.146 0.546
Y: 0.250 0.053 0.785
Y: 0.750 0.870 0.644
Y: 0.250 0.553 0.715
Y: 0.250 0.473 0.433
Y: 0.750 0.947 0.215
Y: 0.750 0.854 0.454
Y: 0.250 0.646 0.954
Y: 0.750 0.527 0.567
Y: 0.250 0.973 0.067
Y: 0.750 0.354 0.046
Y: 0.750 0.447 0.285
Y: 0.750 0.027 0.933
Y: 0.750 0.370 0.856
Bi: 0.750 0.751 0.815
Bi: 0.750 0.251 0.685
Bi: 0.250 0.749 0.315
Bi: 0.250 0.249 0.185
Co: 0.750 0.730 0.053
Co: 0.250 0.270 0.947
Co: 0.250 0.770 0.553
Co: 0.750 0.230 0.447

| no. | electronic total energy (eV/cell) | N(E_F) (states/eV/cell) |
| --- | --- | --- |
| 1 | -17.4 | 3.7 |
| 2 | -66.8 | 9.3 |
| 3 | -13.8 | 2.4 |
| 4 | -13.3 | 2.4 |
| 5 | -32.8 | 8.1 |
| 6 | -22.9 | 7.5 |
| 7 | -21.2 | 0.1 |
| 8 | -19.9 | 2.4 |
| 9 | -20.4 | 2.7 |
| 10 | -38.4 | 10.1 |
| 11 | -45.6 | 16.6 |
| 12 | -50.2 | 5.6 |
| 13 | -156.4 | 29.8 |